Entry 1:
# PBE-GGA Mg2CdRh, optimized geometry
# Space-group type   No. 160
data_Mg2CdRh
_chemical_formula_sum 'Mg2 Cd1 Rh1'
_cell_length_a 3.077
_cell_length_b 3.077
_cell_length_c 9.298
_cell_angle_alpha 80.48
_cell_angle_beta 80.48
_cell_angle_gamma 60.00
_space_group_name_H-M_alt 'P 1'
_space_group_IT_number 1
_space_group_name_Hall 'P 1'
loop_
_atom_site_label
_atom_site_fract_x
_atom_site_fract_y
_atom_site_fract_z
Rh1 0.666 0.666 0.001
Mg1 0.261 0.261 0.218
Mg2 0.072 0.072 0.783
Cd1 0.500 0.500 0.499

Entry 2:
# PBE-GGA MgCdRh, optimized geometry
# Space-group type   No. 62
data_MgCdRh
_chemical_formula_sum 'Mg4 Cd4 Rh4'
_cell_length_a 4.466
_cell_length_b 6.227
_cell_length_c 8.875
_cell_angle_alpha 90.00
_cell_angle_beta 90.00
_cell_angle_gamma 90.00
_space_group_name_H-M_alt 'P 1'
_space_group_IT_number 1
_space_group_name_Hall 'P 1'
loop_
_atom_site_label
_atom_site_fract_x
_atom_site_fract_y
_atom_site_fract_z
Rh1 0.250 0.228 0.620
Rh2 0.250 0.272 0.120
Rh3 0.750 0.772 0.380
Rh4 0.750 0.728 0.880
Cd1 0.250 0.512 0.380
Cd2 0.250 0.988 0.880
Cd3 0.750 0.012 0.120
Cd4 0.750 0.488 0.620
Mg1 0.750 0.511 0.137
Mg2 0.250 0.489 0.863
Mg3 0.250 0.011 0.363
Mg4 0.750 0.989 0.637

Entry 3:
# PBE-GGA MgCd6Rh5, optimized geometry
# Space-group type   No. 71
data_MgCd6Rh5
_chemical_formula_sum 'Mg1 Cd6 Rh5'
_cell_length_a 4.568
_cell_length_b 6.595
_cell_length_c 7.957
_cell_angle_alpha 114.49
_cell_angle_beta 106.68
_cell_angle_gamma 90.00
_space_group_name_H-M_alt 'P 1'
_space_group_IT_number 1
_space_group_name_Hall 'P 1'
loop_
_atom_site_label
_atom_site_fract_x
_atom_site_fract_y
_atom_site_fract_z
Cd1 0.172 0.915 0.345
Cd2 0.500 0.265 0.000
Cd3 0.172 0.430 0.345
Cd4 0.828 0.085 0.655
Cd5 0.500 0.735 0.000
Cd6 0.828 0.570 0.655
Rh1 0.345 0.845 0.689
Rh2 0.655 0.155 0.311
Rh3 0.666 0.666 0.333
Rh4 0.000 0.500 0.000
Rh5 0.334 0.334 0.667
Mg1 0.000 0.000 0.000

Entry 4:
# PBE-GGA MgCdRh, optimized geometry
# Space-group type   No. 216
data_MgCdRh
_chemical_formula_sum 'Mg1 Cd1 Rh1'
_cell_length_a 4.447
_cell_length_b 4.447
_cell_length_c 4.447
_cell_angle_alpha 60.00
_cell_angle_beta 60.00
_cell_angle_gamma 60.00
_space_group_name_H-M_alt 'P 1'
_space_group_IT_number 1
_space_group_name_Hall 'P 1'
loop_
_atom_site_label
_atom_site_fract_x
_atom_site_fract_y
_atom_site_fract_z
Rh1 0.750 0.750 0.750
Cd1 0.000 0.000 0.000
Mg1 0.500 0.500 0.500

Number 1: final energy -12.200 eV per cell, formation energy -186 meV/atom. Number 2: final energy -40.719 eV per cell, formation energy -106 meV/atom. Number 3: final energy -45.629 eV per cell, formation energy -149 meV/atom. Number 4: final energy -10.191 eV per cell, formation energy -110 meV/atom.